Material: Hf3InH2
Method: DFT, PBE-GGA
State: relaxed

Lattice parameters (Å, degrees): 6.572 6.572 4.355 90.00 90.00 92.20
Atoms (fractional coordinates):
Hf 0.128 0.872 0.750
Hf 0.136 0.396 0.750
Hf 0.396 0.136 0.250
Hf 0.604 0.864 0.750
Hf 0.864 0.604 0.250
Hf 0.872 0.128 0.250
In 0.354 0.646 0.250
In 0.646 0.354 0.750
H 0.131 0.131 0.000
H 0.131 0.131 0.500
H 0.869 0.869 0.000
H 0.869 0.869 0.500

The value obtained for the offset from the most stable computed form is 0 meV/atom. The mass density is 11.5 g cm⁻³. The density of states at the Fermi level comes out at 9.21 states/eV per cell. Its volume is 15.66 Å³/atom. Its total energy is -6.81 eV/atom.



Material: Hf3InH
Method: DFT, PBE-GGA
State: relaxed

Lattice parameters (Å, degrees): 7.945 5.465 10.808 90.00 128.58 90.00
Atoms (fractional coordinates):
Hf 0.033 0.171 0.337
Hf 0.033 0.329 0.837
Hf 0.217 0.668 0.523
Hf 0.217 0.832 0.023
Hf 0.279 0.187 0.723
Hf 0.279 0.313 0.223
Hf 0.721 0.687 0.777
Hf 0.721 0.813 0.277
Hf 0.783 0.168 0.977
Hf 0.783 0.332 0.477
Hf 0.967 0.671 0.163
Hf 0.967 0.829 0.663
In 0.463 0.700 0.897
In 0.463 0.800 0.397
In 0.537 0.200 0.603
In 0.537 0.300 0.103
H 0.076 0.151 0.015
H 0.076 0.349 0.515
H 0.924 0.651 0.485
H 0.924 0.849 0.985

The mass density is 11.8 g cm⁻³. The density of states at the Fermi level comes out at 11.53 states/eV per cell. Its volume is 18.34 Å³/atom. Its total energy is -7.31 eV/atom.



Material: Hf4In3H2
Method: DFT, PBE-GGA
State: relaxed

Lattice parameters (Å, degrees): 7.813 7.813 5.767 99.90 99.90 69.53
Atoms (fractional coordinates):
Hf 0.122 0.627 0.939
Hf 0.212 0.394 0.429
Hf 0.373 0.878 0.561
Hf 0.394 0.212 0.929
Hf 0.606 0.788 0.071
Hf 0.627 0.122 0.439
Hf 0.788 0.606 0.571
Hf 0.878 0.373 0.061
In 0.003 0.806 0.434
In 0.194 0.997 0.066
In 0.497 0.503 0.250
In 0.503 0.497 0.750
In 0.806 0.003 0.934
In 0.997 0.194 0.566
H 0.138 0.396 0.071
H 0.396 0.138 0.571
H 0.604 0.862 0.429
H 0.862 0.604 0.929

The mass density is 10.9 g cm⁻³. The density of states at the Fermi level comes out at 12.08 states/eV per cell. Its volume is 17.92 Å³/atom. Its total energy is -6.27 eV/atom.



Material: Hf3InH
Method: DFT, PBE-GGA
State: relaxed

Lattice parameters (Å, degrees): 5.200 5.206 6.773 90.20 90.17 100.33
Atoms (fractional coordinates):
Hf 0.000 0.000 0.000
Hf 0.002 0.002 0.486
Hf 0.494 0.484 0.998
Hf 0.498 0.488 0.491
Hf 0.511 0.002 0.742
Hf 0.996 0.477 0.743
In 0.000 0.498 0.244
In 0.500 0.987 0.244
H 0.126 0.866 0.742
H 0.744 0.737 0.839

The mass density is 12.0 g cm⁻³. The density of states at the Fermi level comes out at 5.53 states/eV per cell. Its volume is 18.04 Å³/atom. Its total energy is -7.40 eV/atom.



Material: Hf5In4H
Method: DFT, PBE-GGA
State: relaxed

Lattice parameters (Å, degrees): 7.073 7.073 7.073 95.79 95.79 142.95
Atoms (fractional coordinates):
Hf 0.000 0.000 0.000
Hf 0.331 0.331 0.663
Hf 0.331 0.669 0.000
Hf 0.669 0.331 0.000
Hf 0.669 0.669 0.337
In 0.000 0.319 0.319
In 0.000 0.681 0.681
In 0.319 0.000 0.319
In 0.681 0.000 0.681
H 0.500 0.500 0.000

The mass density is 11.1 g cm⁻³. The density of states at the Fermi level comes out at 7.30 states/eV per cell. Its volume is 20.22 Å³/atom. Its total energy is -6.52 eV/atom.



Material: Hf3InH
Method: DFT, PBE-GGA
State: relaxed

Lattice parameters (Å, degrees): 11.379 11.379 11.379 154.06 154.06 37.01
Atoms (fractional coordinates):
Hf 0.192 0.192 0.000
Hf 0.370 0.119 0.749
Hf 0.370 0.621 0.251
Hf 0.379 0.630 0.749
Hf 0.808 0.808 0.000
Hf 0.881 0.630 0.251
In 0.250 0.750 0.500
In 0.500 0.500 0.000
H 0.654 0.154 0.500
H 0.846 0.346 0.500

The mass density is 7.7 g cm⁻³. The density of states at the Fermi level comes out at 8.07 states/eV per cell. Its volume is 28.15 Å³/atom. Its total energy is -6.09 eV/atom.



Material: Hf3InH
Method: DFT, PBE-GGA
State: relaxed

Lattice parameters (Å, degrees): 4.942 4.942 8.714 90.00 90.00 120.00
Atoms (fractional coordinates):
Hf 0.000 0.000 0.250
Hf 0.000 0.000 0.750
Hf 0.333 0.667 0.086
Hf 0.333 0.667 0.414
Hf 0.667 0.333 0.586
Hf 0.667 0.333 0.914
In 0.333 0.667 0.750
In 0.667 0.333 0.250
H 0.000 0.000 0.000
H 0.000 0.000 0.500

The mass density is 11.7 g cm⁻³. The density of states at the Fermi level comes out at 11.57 states/eV per cell. Its volume is 18.43 Å³/atom. Its total energy is -7.06 eV/atom.



Material: Hf3In2H
Method: DFT, PBE-GGA
State: relaxed

Lattice parameters (Å, degrees): 4.556 15.303 3.234 90.00 90.00 90.00
Atoms (fractional coordinates):
Hf 0.000 0.000 0.000
Hf 0.000 0.396 0.500
Hf 0.000 0.604 0.500
Hf 0.500 0.104 0.500
Hf 0.500 0.500 0.000
Hf 0.500 0.896 0.500
In 0.000 0.194 0.000
In 0.000 0.806 0.000
In 0.500 0.306 0.000
In 0.500 0.694 0.000
H 0.000 0.500 0.000
H 0.500 0.000 0.000

The mass density is 11.3 g cm⁻³. The density of states at the Fermi level comes out at 9.34 states/eV per cell. Its volume is 18.79 Å³/atom. Its total energy is -6.60 eV/atom.